Entry 1:
Cs3KAu: relaxed, GGA-PBEsol.

abc: 7.036 8.674 13.255
angles: 78.00 74.61 66.07
Sites, in units of the cell vectors:
Au 0.518 0.072 0.893
Au 0.017 0.815 0.151
Cs 0.009 0.586 0.396
Cs 0.515 0.831 0.138
Cs 0.514 0.317 0.655
Cs 0.018 0.062 0.903
Cs 0.772 0.183 0.273
Cs 0.267 0.457 0.010
K 0.263 0.939 0.534
K 0.751 0.729 0.769

Computed properties:
symmetry: Cm (8)
ρ: 2.98 g/cm³
total DFT energy (no corrections): -1.647 eV/atom
DOS at the Fermi energy: 4.2 states/eV/f.u.

***

Entry 2:
Ba2TlPb: relaxed, GGA-PBEsol.

abc: 4.088 4.088 9.722
angles: 90.00 90.00 90.00
Sites, in units of the cell vectors:
Tl 0.500 0.500 0.705
Ba 0.500 0.500 0.315
Ba 0.000 0.000 0.931
Pb 0.000 0.000 0.549

Computed properties:
symmetry: P4mm (99)
ρ: 7.01 g/cm³
total DFT energy (no corrections): -2.977 eV/atom
DOS at the Fermi energy: 4.3 states/eV/f.u.

***

Entry 3:
CsSb2TeMo: relaxed, GGA-PBEsol.

abc: 5.252 5.252 5.608
angles: 90.00 90.00 90.00
Sites, in units of the cell vectors:
Cs 0.500 0.500 0.500
Sb 0.500 0.000 0.000
Sb 0.000 0.500 0.000
Mo 0.000 0.000 0.000
Te 0.000 0.000 0.500

Computed properties:
ΔE_f (raw): 0.10 eV/atom
symmetry: P4/mmm (123)
ρ: 6.44 g/cm³
DOS at the Fermi energy: 5.0 states/eV/f.u.

***

Entry 4:
Li2BeCr: relaxed, GGA-PBEsol.

abc: 2.177 4.545 5.207
angles: 115.46 101.26 91.81
Sites, in units of the cell vectors:
Li 0.000 0.000 0.500
Li 0.500 0.500 0.500
Cr 0.500 0.000 0.000
Be 0.000 0.500 0.000

Computed properties:
symmetry: C2/m (12)
ρ: 2.75 g/cm³
total DFT energy (no corrections): -4.147 eV/atom
DOS at the Fermi energy: 2.3 states/eV/f.u.

***

Entry 5:
LaNiAu3: relaxed, GGA-PBEsol.

abc: 4.754 4.754 4.754
angles: 90.00 90.00 90.00
Sites, in units of the cell vectors:
Au 0.000 0.500 0.000
Au 0.000 0.000 0.500
Au 0.500 0.000 0.000
Ni 0.000 0.000 0.000
La 0.500 0.500 0.500

Computed properties:
symmetry: Pm-3m (221)
ρ: 12.18 g/cm³
total DFT energy (no corrections): -4.828 eV/atom
DOS at the Fermi energy: 3.3 states/eV/f.u.

***

Entry 6:
LiYO3: relaxed, GGA-PBEsol.

abc: 3.617 3.617 3.617
angles: 90.00 90.00 90.00
Last column: magnetic moment on the atom in μB.
Sites, in units of the cell vectors:
O 0.000 0.500 0.500  0.59
O 0.500 0.500 0.000  0.59
O 0.500 0.000 0.500  0.59
Y 0.000 0.000 0.000  -0.06
Li 0.500 0.500 0.500  0.00

Computed properties:
ΔE_f (raw): -1.89 eV/atom
symmetry: Pm-3m (221)
ρ: 5.05 g/cm³
DOS at the Fermi energy: 1.7 states/eV/f.u.

***

Entry 7:
AlZnNi6: relaxed, GGA-PBEsol.

abc: 6.092 6.092 9.960
angles: 90.00 90.00 109.58
Last column: magnetic moment on the atom in μB.
Sites, in units of the cell vectors:
Ni 0.875 0.625 0.125  0.32
Ni 0.251 0.749 0.751  0.35
Ni 0.125 0.376 0.625  0.39
Ni 0.251 0.749 0.249  0.35
Ni 0.624 0.875 0.625  0.39
Ni 0.125 0.376 0.375  0.39
Ni 0.625 0.875 0.875  0.32
Ni 0.376 0.125 0.375  0.39
Ni 0.125 0.375 0.875  0.32
Ni 0.375 0.125 0.875  0.32
Ni 0.500 0.500 0.500  0.37
Ni 0.875 0.624 0.375  0.39
Ni 0.000 0.000 0.500  0.41
Ni 0.875 0.625 0.875  0.32
Ni 0.376 0.125 0.625  0.39
Ni 0.875 0.624 0.625  0.39
Ni 0.125 0.375 0.125  0.32
Ni 0.624 0.875 0.375  0.39
Ni 0.375 0.125 0.125  0.32
Ni 0.749 0.251 0.249  0.35
Ni 0.749 0.251 0.751  0.35
Ni 0.000 0.000 0.000  0.34
Ni 0.625 0.875 0.125  0.32
Ni 0.500 0.500 0.000  0.30
Al 0.500 0.500 0.250  -0.01
Al 0.749 0.251 0.000  -0.01
Al 0.500 0.500 0.750  -0.01
Al 0.251 0.749 0.000  -0.01
Zn 0.000 0.000 0.250  -0.01
Zn 0.750 0.250 0.500  -0.01
Zn 0.250 0.750 0.500  -0.01
Zn 0.000 0.000 0.750  -0.01

Computed properties:
symmetry: Cmmm (65)
ρ: 8.48 g/cm³
total DFT energy (no corrections): -5.606 eV/atom
DOS at the Fermi energy: 8.1 states/eV/f.u.

***

Entry 8:
LuB12: relaxed, GGA-PBEsol.

abc: 5.245 5.245 5.245
angles: 60.00 60.00 60.00
Sites, in units of the cell vectors:
B 0.162 0.500 0.838
B 0.500 0.162 0.838
B 0.500 0.162 0.500
B 0.500 0.838 0.162
B 0.162 0.500 0.500
B 0.500 0.500 0.838
B 0.838 0.500 0.500
B 0.500 0.500 0.162
B 0.838 0.500 0.162
B 0.838 0.162 0.500
B 0.162 0.838 0.500
B 0.500 0.838 0.500
Lu 0.000 0.000 0.000

Computed properties:
symmetry: Fm-3m (225)
ρ: 4.96 g/cm³
total DFT energy (no corrections): -7.130 eV/atom
DOS at the Fermi energy: 0.5 states/eV/f.u.